# 1
This record from Alexandria via LeMat-Bulk describes crystalline Rb2NbMo at its relaxed geometry. The functional is GGA-PBE.

```
Rb2NbMo
1.0
0.0000 4.1715 4.1715
4.1715 0.0000 4.1715
4.1715 4.1715 0.0000
Rb Nb Mo
2 1 1
direct
0.2500 0.2500 0.2500
0.7500 0.7500 0.7500
0.0000 0.0000 0.0000
0.5000 0.5000 0.5000
```

Calculated values
Size of the total moment (μB per cell): 4.2
Fermi-level density of states (states/eV/atom): 6.33
Relative energy among the computed polymorphs (kJ per mole of atoms): 95.1

***

# 2
This record from Alexandria via LeMat-Bulk describes crystalline OsSeF2 at its relaxed geometry. The functional is GGA-PBE.

```
OsSeF2
1.0
1.3609 0.7857 10.2940
-1.3609 0.7857 10.2940
0.0000 -1.5715 10.2940
Os Se F
1 1 2
direct
0.0000 0.0000 0.0000
0.5000 0.5000 0.5000
0.0612 0.0612 0.0612
0.9388 0.9388 0.9388
```

Calculated values
Uncorrected formation energy (meV per atom): -656.8
Size of the total moment (μB per cell): 0.0
Fermi-level density of states (states/eV/atom): 0.59
Relative energy among the computed polymorphs (kJ per mole of atoms): 0.0

***

# 3
This record from Alexandria via LeMat-Bulk describes crystalline CsNaCd2Rh at its relaxed geometry. The functional is GGA-PBE.

```
CsNaCd2Rh
1.0
5.7451 0.0000 0.0000
0.0000 5.7451 0.0000
0.0000 0.0000 5.2672
Cs Na Cd Rh
1 1 2 1
direct
0.0000 0.0000 0.0000
0.5000 0.5000 0.5000
0.0000 0.5000 0.5000
0.5000 0.0000 0.5000
0.5000 0.5000 0.0000
```

Calculated values
Size of the total moment (μB per cell): 0.8
Fermi-level density of states (states/eV/atom): 1.01
Relative energy among the computed polymorphs (kJ per mole of atoms): 59.5

***

# 4
This record from Alexandria via LeMat-Bulk describes crystalline Pr2HSe at its relaxed geometry. The functional is GGA-PBE.

```
Pr2HSe
1.0
1.9424 1.1214 7.1934
-1.9424 1.1214 7.1934
0.0000 -2.2429 7.1934
Pr H Se
2 1 1
direct
0.0000 0.0000 0.0000
0.1562 0.1562 0.1562
0.3980 0.3980 0.3980
0.5782 0.5782 0.5782
```

Calculated values
Size of the total moment (μB per cell): 0.0
Fermi-level density of states (states/eV/atom): 0.76
Relative energy among the computed polymorphs (kJ per mole of atoms): 12.9

***

# 5
This record from Alexandria via LeMat-Bulk describes crystalline Pa2AlPt at its relaxed geometry. The functional is GGA-PBE.

```
Pa2AlPt
1.0
1.5339 0.8856 10.6835
-1.5339 0.8856 10.6835
0.0000 -1.7711 10.6835
Pa Al Pt
2 1 1
direct
0.0851 0.0851 0.0851
0.9149 0.9149 0.9149
0.5000 0.5000 0.5000
0.0000 0.0000 0.0000
```

Calculated values
Size of the total moment (μB per cell): 0.0
Fermi-level density of states (states/eV/atom): 1.64
Relative energy among the computed polymorphs (kJ per mole of atoms): 51.0

***

# 6
This record from Alexandria via LeMat-Bulk describes crystalline CaYRe2 at its relaxed geometry. The functional is GGA-PBE.

```
CaYRe2
1.0
3.1813 0.0000 0.0000
0.0000 3.1813 0.0000
0.0000 0.0000 9.0830
Ca Y Re
1 1 2
direct
0.0000 0.0000 0.0000
0.5000 0.5000 0.6206
0.0000 0.0000 0.3880
0.5000 0.5000 0.2452
```

Calculated values
Size of the total moment (μB per cell): 0.0
Fermi-level density of states (states/eV/atom): 1.06
Relative energy among the computed polymorphs (kJ per mole of atoms): 0.0

***

Question: What is the relative energy among the computed polymorphs in the fourth record?
Answer: 12.9 kJ per mole of atoms

***

Repeat the third record exactly.
This record from Alexandria via LeMat-Bulk describes crystalline CsNaCd2Rh at its relaxed geometry. The functional is GGA-PBE.

```
CsNaCd2Rh
1.0
5.7451 0.0000 0.0000
0.0000 5.7451 0.0000
0.0000 0.0000 5.2672
Cs Na Cd Rh
1 1 2 1
direct
0.0000 0.0000 0.0000
0.5000 0.5000 0.5000
0.0000 0.5000 0.5000
0.5000 0.0000 0.5000
0.5000 0.5000 0.0000
```

Calculated values
Size of the total moment (μB per cell): 0.8
Fermi-level density of states (states/eV/atom): 1.01
Relative energy among the computed polymorphs (kJ per mole of atoms): 59.5

***

Question: Number 5 is which compound?
Answer: Pa2AlPt

***

Question: What is the size of the total moment in the first record?
Answer: 4.2 μB per cell